Record 1
! CdIn2P, PBEsol geometry, DFT SCAN; values from VASP
&SYSTEM
  ibrav = 0, nat = 4, ntyp = 3
/
ATOMIC_SPECIES
In 114.82 In.upf
P 30.97 P.upf
Cd 112.41 Cd.upf
CELL_PARAMETERS angstrom
3.347 0.000 0.000
0.000 3.347 0.000
0.000 0.000 7.852
ATOMIC_POSITIONS crystal
In 0.500 0.500 0.294
In 0.000 0.000 0.986
P 0.000 0.000 0.506
Cd 0.500 0.500 0.713
! N(E_F): 1.6 states/eV/f.u.
! M_tot: 0.00 μB/f.u.
! DFT formation energy: 22 kJ per mole of atoms
! Excess energy over the best structure of this formula in the dataset: 0 meV/atom



Record 2
! Zn2BRh2, PBEsol geometry, DFT SCAN; values from VASP
&SYSTEM
  ibrav = 0, nat = 10, ntyp = 3
/
ATOMIC_SPECIES
Rh 102.91 Rh.upf
Zn 65.41 Zn.upf
B 10.81 B.upf
CELL_PARAMETERS angstrom
4.054 0.000 0.000
0.000 5.613 0.000
0.000 0.000 5.613
ATOMIC_POSITIONS crystal
Rh 0.000 0.335 0.835
Zn 0.500 0.155 0.655
Zn 0.500 0.345 0.155
B 0.000 0.000 0.000
Zn 0.500 0.655 0.845
Zn 0.500 0.845 0.345
Rh 0.000 0.665 0.165
Rh 0.000 0.165 0.335
Rh 0.000 0.835 0.665
B 0.000 0.500 0.500
! N(E_F): 1.2 states/eV/f.u.
! M_tot: 0.00 μB/f.u.
! DFT formation energy: -40 kJ per mole of atoms



Record 3
! MgZr2Te, PBEsol geometry, DFT SCAN; values from VASP
&SYSTEM
  ibrav = 0, nat = 4, ntyp = 3
/
ATOMIC_SPECIES
Zr 91.22 Zr.upf
Te 127.60 Te.upf
Mg 24.30 Mg.upf
CELL_PARAMETERS angstrom
3.851 0.000 0.000
0.000 4.797 0.000
-1.925 -2.399 4.626
ATOMIC_POSITIONS crystal
Zr 0.747 0.747 0.495
Zr 0.253 0.253 0.505
Te 0.000 0.500 0.000
Mg 0.500 0.000 0.000
! N(E_F): 2.4 states/eV/f.u.
! M_tot: 0.00 μB/f.u.
! Energy relative to the elements, uncorrected: -0.32 eV/atom
! Excess energy over the best structure of this formula in the dataset: 25 meV/atom



Record 4
! AlSbSCl2, PBEsol geometry, DFT SCAN; values from VASP
&SYSTEM
  ibrav = 0, nat = 5, ntyp = 4
/
ATOMIC_SPECIES
Cl 35.45 Cl.upf
S 32.06 S.upf
Al 26.98 Al.upf
Sb 121.76 Sb.upf
CELL_PARAMETERS angstrom
-2.173 4.459 -1.358
-4.279 -1.255 2.728
2.033 2.283 4.240
ATOMIC_POSITIONS crystal
Cl 0.000 0.000 0.500
Cl 0.000 0.500 0.000
S 0.500 0.000 0.000
Al 0.500 0.500 0.500
Sb 0.000 0.000 0.000
! N(E_F): 0.4 states/eV/f.u.
! M_tot: 0.00 μB/f.u.
! Energy relative to the elements, uncorrected: -0.18 eV/atom



Record 5
! Nb8P5, PBEsol geometry, DFT SCAN; values from VASP
&SYSTEM
  ibrav = 0, nat = 52, ntyp = 2
/
ATOMIC_SPECIES
Nb 92.91 Nb.upf
P 30.97 P.upf
CELL_PARAMETERS angstrom
3.410 0.000 0.000
0.000 9.329 0.000
0.000 0.000 26.409
ATOMIC_POSITIONS crystal
Nb 0.000 0.749 0.001
Nb 0.500 0.527 0.502
Nb 0.500 0.248 0.765
P 0.500 0.493 0.714
Nb 0.500 0.751 0.084
Nb 0.000 0.162 0.327
Nb 0.500 0.473 0.002
P 0.000 0.746 0.337
P 0.500 0.007 0.286
Nb 0.500 0.747 0.737
Nb 0.000 0.500 0.784
Nb 0.500 0.249 0.584
Nb 0.000 0.662 0.174
Nb 0.000 0.251 0.501
Nb 0.500 0.079 0.875
Nb 0.500 0.021 0.995
Nb 0.000 0.754 0.447
Nb 0.500 0.921 0.375
P 0.000 0.544 0.072
P 0.000 0.035 0.565
Nb 0.500 0.256 0.417
P 0.500 0.357 0.331
P 0.500 0.141 0.669
Nb 0.500 0.253 0.237
Nb 0.000 0.838 0.827
P 0.000 0.965 0.065
P 0.500 0.643 0.831
Nb 0.500 0.585 0.379
P 0.000 0.254 0.837
P 0.000 0.538 0.935
P 0.000 0.245 0.162
Nb 0.000 0.246 0.947
Nb 0.500 0.752 0.265
Nb 0.000 0.000 0.716
Nb 0.500 0.576 0.627
Nb 0.000 0.500 0.284
P 0.500 0.859 0.169
Nb 0.500 0.424 0.127
P 0.000 0.052 0.428
Nb 0.500 0.918 0.623
Nb 0.500 0.082 0.123
P 0.500 0.993 0.786
P 0.000 0.462 0.435
P 0.000 0.948 0.928
Nb 0.000 0.000 0.216
P 0.000 0.755 0.662
P 0.000 0.456 0.572
Nb 0.500 0.979 0.495
Nb 0.500 0.744 0.917
Nb 0.500 0.415 0.879
Nb 0.000 0.338 0.674
P 0.500 0.507 0.214
! N(E_F): 6.2 states/eV/f.u.
! M_tot: 0.00 μB/f.u.
! DFT formation energy: -82 kJ per mole of atoms



Record 6
! Ba2Cd, PBEsol geometry, DFT SCAN; values from VASP
&SYSTEM
  ibrav = 0, nat = 24, ntyp = 2
/
ATOMIC_SPECIES
Cd 112.41 Cd.upf
Ba 137.33 Ba.upf
CELL_PARAMETERS angstrom
11.232 0.000 0.000
5.616 9.727 0.000
5.616 3.242 9.171
ATOMIC_POSITIONS crystal
Cd 0.975 0.342 0.342
Ba 0.125 0.625 0.125
Ba 0.560 0.940 0.560
Ba 0.690 0.310 0.690
Ba 0.310 0.690 0.690
Cd 0.908 0.908 0.908
Cd 0.342 0.975 0.342
Ba 0.310 0.690 0.310
Ba 0.940 0.560 0.560
Ba 0.940 0.940 0.560
Ba 0.625 0.125 0.125
Ba 0.310 0.310 0.690
Ba 0.560 0.560 0.940
Cd 0.275 0.908 0.908
Ba 0.125 0.125 0.625
Ba 0.125 0.125 0.125
Ba 0.560 0.940 0.940
Ba 0.690 0.690 0.310
Ba 0.940 0.560 0.940
Cd 0.908 0.908 0.275
Cd 0.908 0.275 0.908
Ba 0.690 0.310 0.310
Cd 0.342 0.342 0.342
Cd 0.342 0.342 0.975
! N(E_F): 3.7 states/eV/f.u.
! M_tot: 0.51 μB/f.u.
! DFT formation energy: -19 kJ per mole of atoms



Number 1: E -106.69 eV for the cell shown. Number 2: E -208.14 eV for the cell shown. Number 3: E -104.91 eV for the cell shown. Number 4: E -71.48 eV for the cell shown. Number 5: E -1312.22 eV for the cell shown. Number 6: E -880.92 eV for the cell shown.